[1]
A plane-wave DFT calculation with PBE-GGA was carried out for a relaxed structure of Rb3Zn2Te4.

It has space group P-1 (No. 2), with a = 4.250 Å, b = 10.158 Å, c = 10.280 Å, α = 63.64°, β = 78.08° and γ = 77.94°. The asymmetric unit holds Rb at (0.000, 0.000, 0.000), Rb at (0.119, 0.352, 0.410), Zn at (0.328, 0.392, 0.951), Te at (0.218, 0.699, 0.866) and Te at (0.479, 0.302, 0.740).

For the density of states at the Fermi level, the calculation gives 3.7 states/eV/f.u. As for the formation energy from raw total energies: -620 kJ/mol of formula units. For the relative energy among the computed polymorphs, the calculation gives 0.000 eV/f.u.


[2]
A plane-wave DFT calculation with PBE-GGA was carried out for a relaxed structure of Rb2Zn2Te.

It has space group P4/mbm (No. 127), with a = 8.189 Å, b = 8.189 Å, c = 5.283 Å, α = 90.00°, β = 90.00° and γ = 90.00°. The asymmetric unit holds Rb at (0.192, 0.308, 0.000), Zn at (0.114, 0.614, 0.500) and Te at (0.000, 0.000, 0.500).

For the density of states at the Fermi level, the calculation gives 2.3 states/eV/f.u. As for the formation energy from raw total energies: -92 kJ/mol of formula units. For the relative energy among the computed polymorphs, the calculation gives 0.000 eV/f.u.


[3]
A plane-wave DFT calculation with PBE-GGA was carried out for a relaxed structure of Rb2ZnTe3.

It has space group Pnma (No. 62), with a = 7.900 Å, b = 4.843 Å, c = 25.372 Å, α = 90.00°, β = 90.00° and γ = 90.00°. The asymmetric unit holds Rb at (0.158, 0.250, 0.074), Rb at (0.248, 0.750, 0.781), Zn at (0.017, 0.750, 0.449), Te at (0.058, 0.250, 0.654), Te at (0.098, 0.750, 0.179) and Te at (0.193, 0.250, 0.468).

As for the formation energy from raw total energies: -391 kJ/mol of formula units.


Number 1: final energy -2.716 eV per atom, M_tot 0.0 μB per cell. Number 2: final energy -1.715 eV per atom, M_tot 0.0 μB per cell. Number 3: final energy -2.782 eV per atom, M_tot 0.0 μB per cell.